Record 1
! BaTe2Pd | Alexandria | PBE | relaxed; values from VASP
&SYSTEM
  ibrav = 0, nat = 4, ntyp = 3
/
ATOMIC_SPECIES
Te 127.60 Te.upf
Pd 106.42 Pd.upf
Ba 137.33 Ba.upf
CELL_PARAMETERS angstrom
3.519 0.000 4.008
-1.759 3.047 4.008
-1.759 -3.047 4.008
ATOMIC_POSITIONS angstrom
Te 0.000 0.000 2.597
Pd 0.000 0.000 0.000
Ba 0.000 0.000 6.012
Te 0.000 0.000 9.428
! **Space-group type**: R-3m
! **Fermi-level density of states**: 4.80 states/eV per cell
! **E_tot**: -3.979 eV/atom
! **Crystal system**: trigonal
! **ΔE_f (raw)**: -0.63 eV per atom

Record 2
! BaTePd | Alexandria | PBE | relaxed; values from VASP
&SYSTEM
  ibrav = 0, nat = 3, ntyp = 3
/
ATOMIC_SPECIES
Ba 137.33 Ba.upf
Te 127.60 Te.upf
Pd 106.42 Pd.upf
CELL_PARAMETERS angstrom
-1.681 -3.933 -1.793
3.947 -2.280 1.302
-3.693 0.227 2.963
ATOMIC_POSITIONS angstrom
Ba 0.280 -4.065 0.661
Te -1.426 -1.263 2.111
Pd -0.281 -0.657 -0.300
! **Space-group type**: P-6m2
! **Fermi-level density of states**: 0.25 states/eV per cell
! **E_tot**: -4.603 eV/atom
! **Crystal system**: hexagonal
! **ΔE_f (raw)**: -1.18 eV per atom

Record 3
! Ba2TePd2 | Alexandria | PBE | relaxed; values from VASP
&SYSTEM
  ibrav = 0, nat = 5, ntyp = 3
/
ATOMIC_SPECIES
Ba 137.33 Ba.upf
Te 127.60 Te.upf
Pd 106.42 Pd.upf
CELL_PARAMETERS angstrom
-5.040 -1.903 3.084
-0.152 -5.167 -3.437
-0.201 -5.430 2.567
ATOMIC_POSITIONS angstrom
Ba -3.918 -5.434 2.737
Te 0.000 0.000 0.000
Pd -3.560 -8.361 1.516
Ba -1.475 -7.066 -0.523
Pd -1.833 -4.139 0.698
! **Space-group type**: I4/mmm
! **Fermi-level density of states**: 0.00 states/eV per cell
! **E_tot**: -4.306 eV/atom
! **Crystal system**: tetragonal
! **ΔE_f (raw)**: -0.83 eV per atom